Here is TcBiBr3 after structural relaxation from Alexandria. Energies are from PBE-GGA.

Unit cell a=5.2259 b=5.2259 c=5.2259 alpha=90.00 beta=90.00 gamma=90.00
Closest atoms and distances in Å follow each position.
Fractional coordinates of all 5 atoms:
Tc 0.0000 0.0000 0.0000  6 Br 2.61
Bi 0.5000 0.5000 0.5000  12 Br 3.70
Br 0.0000 0.0000 0.5000  2 Tc 2.61
Br 0.0000 0.5000 0.0000  2 Tc 2.61
Br 0.5000 0.0000 0.0000  2 Tc 2.61

Properties
**Offset from the most stable computed form**: 0 meV per atom
**DOS(E_F)**: 0.743 states/eV/atom
**Total energy**: -0.129 hartree per atom
**Space group**: Pm-3m, No. 221